1.
# RbNa3Np2Se6, relaxed, DFT GGA-PBE
# E_tot in eV per atom: -5.441
data_RbNa3Np2Se6
_chemical_formula_sum 'Rb2 Na6 Np4 Se12'
_space_group_name_H-M_alt 'C 1 2/m 1'
_space_group_IT_number 12
_cell_length_a 18.4425
_cell_length_b 4.2465
_cell_length_c 8.9241
_cell_angle_alpha 90.00
_cell_angle_beta 101.07
_cell_angle_gamma 90.00
loop_
_space_group_symop_operation_xyz
'x,y,z'
'-x,-y,-z'
'-x,y,-z'
'x,-y,z'
'x+1/2,y+1/2,z'
'-x+1/2,-y+1/2,-z'
'-x+1/2,y+1/2,-z'
'x+1/2,-y+1/2,z'
loop_
_atom_site_label
_atom_site_fract_x
_atom_site_fract_y
_atom_site_fract_z
Rb1 0.0000 0.0000 0.0000
Na1 0.0000 0.0000 0.5000
Na2 0.1569 0.5000 0.8260
Np1 0.1678 0.5000 0.3375
Se1 0.0185 0.5000 0.2865
Se2 0.1737 0.0000 0.5627
Se3 0.1806 0.0000 0.1299

---

2.
# RbNa2Np3Se6, relaxed, DFT GGA-PBE
# E_tot in eV per atom: -6.445
data_RbNa2Np3Se6
_chemical_formula_sum 'Rb2 Na4 Np6 Se12'
_space_group_name_H-M_alt 'C 1 2/m 1'
_space_group_IT_number 12
_cell_length_a 19.3224
_cell_length_b 4.2400
_cell_length_c 8.8801
_cell_angle_alpha 90.00
_cell_angle_beta 106.60
_cell_angle_gamma 90.00
loop_
_space_group_symop_operation_xyz
'x,y,z'
'-x,-y,-z'
'-x,y,-z'
'x,-y,z'
'x+1/2,y+1/2,z'
'-x+1/2,-y+1/2,-z'
'-x+1/2,y+1/2,-z'
'x+1/2,-y+1/2,z'
loop_
_atom_site_label
_atom_site_fract_x
_atom_site_fract_y
_atom_site_fract_z
Rb1 0.0000 0.0000 0.0000
Na1 0.1708 0.5000 0.3379
Np1 0.0000 0.0000 0.5000
Np2 0.1688 0.5000 0.8287
Se1 0.0090 0.5000 0.7236
Se2 0.1619 0.0000 0.5943
Se3 0.1764 0.0000 0.0640

---

3.
# RbNaNp2Te4, relaxed, DFT GGA-PBE
# E_tot in eV per atom: -5.836
data_RbNaNp2Te4
_chemical_formula_sum 'Rb4 Na4 Np8 Te16'
_space_group_name_H-M_alt 'C m c m'
_space_group_IT_number 63
_space_group_name_Hall '-C 2c 2'
_cell_length_a 4.6588
_cell_length_b 15.1040
_cell_length_c 16.4346
_cell_angle_alpha 90.00
_cell_angle_beta 90.00
_cell_angle_gamma 90.00
loop_
_atom_site_label
_atom_site_fract_x
_atom_site_fract_y
_atom_site_fract_z
Rb1 0.0000 0.1187 0.2500
Na1 0.0000 0.1692 0.7500
Np1 0.0000 0.3713 0.0638
Te1 0.0000 0.0000 0.0000
Te2 0.0000 0.2660 0.5981
Te3 0.0000 0.4417 0.2500

---

4.
# Rb4NaNp3Te8, relaxed, DFT GGA-PBE
# E_tot in eV per atom: -5.203
data_Rb4NaNp3Te8
_chemical_formula_sum 'Rb12 Na3 Np9 Te24'
_space_group_name_H-M_alt 'R -3 m'
_space_group_IT_number 166
_space_group_name_Hall '-R 3 2"'
_cell_length_a 9.2549
_cell_length_b 9.2549
_cell_length_c 25.2910
_cell_angle_alpha 90.00
_cell_angle_beta 90.00
_cell_angle_gamma 120.00
loop_
_atom_site_label
_atom_site_fract_x
_atom_site_fract_y
_atom_site_fract_z
Rb1 0.0000 0.0000 0.0000
Rb2 0.0000 0.5000 0.0000
Na1 0.0000 0.0000 0.5000
Np1 0.0000 0.5000 0.5000
Te1 0.0000 0.0000 0.2328
Te2 0.0162 0.5081 0.7680

---

5.
# RbNaNpTe3, relaxed, DFT GGA-PBE
# E_tot in eV per atom: -4.905
data_RbNaNpTe3
_chemical_formula_sum 'Rb2 Na2 Np2 Te6'
_space_group_name_H-M_alt 'P 1 21/m 1'
_space_group_IT_number 11
_cell_length_a 9.7648
_cell_length_b 4.6515
_cell_length_c 10.8256
_cell_angle_alpha 90.00
_cell_angle_beta 107.66
_cell_angle_gamma 90.00
loop_
_space_group_symop_operation_xyz
'x,y,z'
'-x,-y,-z'
'-x,y+1/2,-z'
'x,-y+1/2,z'
loop_
_atom_site_label
_atom_site_fract_x
_atom_site_fract_y
_atom_site_fract_z
Rb1 0.2264 0.2500 0.2610
Na1 0.0736 0.2500 0.6017
Np1 0.3227 0.7500 0.8531
Te1 0.1277 0.2500 0.8880
Te2 0.2529 0.7500 0.5615
Te3 0.4680 0.7500 0.1488

---

6.
# RbNa2Np3Te6, relaxed, DFT GGA-PBE
# E_tot in eV per atom: -5.920
data_RbNa2Np3Te6
_chemical_formula_sum 'Rb2 Na4 Np6 Te12'
_space_group_name_H-M_alt 'C 1 2/m 1'
_space_group_IT_number 12
_cell_length_a 20.5833
_cell_length_b 4.5231
_cell_length_c 9.4974
_cell_angle_alpha 90.00
_cell_angle_beta 107.18
_cell_angle_gamma 90.00
loop_
_space_group_symop_operation_xyz
'x,y,z'
'-x,-y,-z'
'-x,y,-z'
'x,-y,z'
'x+1/2,y+1/2,z'
'-x+1/2,-y+1/2,-z'
'-x+1/2,y+1/2,-z'
'x+1/2,-y+1/2,z'
loop_
_atom_site_label
_atom_site_fract_x
_atom_site_fract_y
_atom_site_fract_z
Rb1 0.0000 0.0000 0.0000
Na1 0.1701 0.5000 0.3358
Np1 0.0000 0.0000 0.5000
Np2 0.1665 0.5000 0.8289
Te1 0.0065 0.5000 0.7249
Te2 0.1613 0.0000 0.5928
Te3 0.1760 0.0000 0.0687

---

7.
# NaNpRh4, relaxed, DFT GGA-PBE
# Formation energy in eV/f.u.: -0.79
data_NaNpRh4
_chemical_formula_sum 'Na4 Np4 Rh16'
_space_group_name_H-M_alt 'F -4 3 m'
_space_group_IT_number 216
_space_group_name_Hall 'F -4 2 3'
_cell_length_a 7.4588
_cell_length_b 7.4588
_cell_length_c 7.4588
_cell_angle_alpha 90.00
_cell_angle_beta 90.00
_cell_angle_gamma 90.00
loop_
_atom_site_label
_atom_site_fract_x
_atom_site_fract_y
_atom_site_fract_z
Na1 0.0000 0.0000 0.0000
Np1 0.2500 0.2500 0.2500
Rh1 0.1254 0.1254 0.6254

---

8.
# NaNpRh2, relaxed, DFT GGA-PBE
# Formation energy in eV/f.u.: -0.33
data_NaNpRh2
_chemical_formula_sum 'Na1 Np1 Rh2'
_space_group_name_H-M_alt 'P 4/m m m'
_space_group_IT_number 123
_space_group_name_Hall '-P 4 2'
_cell_length_a 3.2333
_cell_length_b 3.2333
_cell_length_c 7.5240
_cell_angle_alpha 90.00
_cell_angle_beta 90.00
_cell_angle_gamma 90.00
loop_
_atom_site_label
_atom_site_fract_x
_atom_site_fract_y
_atom_site_fract_z
Na1 0.0000 0.0000 0.0000
Np1 0.0000 0.0000 0.5000
Rh1 0.5000 0.5000 0.2851

---

9.
# NaNp2RhS4, relaxed, DFT GGA-PBE
# E_tot in eV per atom: -7.551
data_NaNp2RhS4
_chemical_formula_sum 'Na4 Np8 Rh4 S16'
_space_group_name_H-M_alt 'C m c m'
_space_group_IT_number 63
_space_group_name_Hall '-C 2c 2'
_cell_length_a 3.8534
_cell_length_b 13.0482
_cell_length_c 13.7543
_cell_angle_alpha 90.00
_cell_angle_beta 90.00
_cell_angle_gamma 90.00
loop_
_atom_site_label
_atom_site_fract_x
_atom_site_fract_y
_atom_site_fract_z
Na1 0.0000 0.1141 0.2500
Np1 0.0000 0.3665 0.0661
Rh1 0.0000 0.1642 0.7500
S1 0.0000 0.0000 0.0000
S2 0.0000 0.2717 0.6086
S3 0.0000 0.4403 0.2500

---

10.
# Na3Np3RhS8, relaxed, DFT GGA-PBE
# E_tot in eV per atom: -6.710
data_Na3Np3RhS8
_chemical_formula_sum 'Na9 Np9 Rh3 S24'
_space_group_name_H-M_alt 'R -3 m'
_space_group_IT_number 166
_space_group_name_Hall '-R 3 2"'
_cell_length_a 7.6850
_cell_length_b 7.6850
_cell_length_c 20.4715
_cell_angle_alpha 90.00
_cell_angle_beta 90.00
_cell_angle_gamma 120.00
loop_
_atom_site_label
_atom_site_fract_x
_atom_site_fract_y
_atom_site_fract_z
Na1 0.0000 0.5000 0.0000
Np1 0.0000 0.5000 0.5000
Rh1 0.0000 0.0000 0.5000
S1 0.0000 0.0000 0.2437
S2 0.0253 0.5127 0.2371

---

11.
# Na3NpRh2S6, relaxed, DFT GGA-PBE
# E_tot in eV per atom: -5.647
data_Na3NpRh2S6
_chemical_formula_sum 'Na6 Np2 Rh4 S12'
_space_group_name_H-M_alt 'C 1 2/m 1'
_space_group_IT_number 12
_cell_length_a 6.2764
_cell_length_b 10.8729
_cell_length_c 7.0919
_cell_angle_alpha 90.00
_cell_angle_beta 107.27
_cell_angle_gamma 90.00
loop_
_space_group_symop_operation_xyz
'x,y,z'
'-x,-y,-z'
'-x,y,-z'
'x,-y,z'
'x+1/2,y+1/2,z'
'-x+1/2,-y+1/2,-z'
'-x+1/2,y+1/2,-z'
'x+1/2,-y+1/2,z'
loop_
_atom_site_label
_atom_site_fract_x
_atom_site_fract_y
_atom_site_fract_z
Na1 0.0000 0.0000 0.0000
Na2 0.0000 0.3394 0.0000
Np1 0.0000 0.5000 0.5000
Rh1 0.0000 0.1670 0.5000
S1 0.2069 0.0000 0.7084
S2 0.2486 0.1815 0.2915

---

12.
# NaNpRhS3, relaxed, DFT GGA-PBE
# E_tot in eV per atom: -6.679
data_NaNpRhS3
_chemical_formula_sum 'Na2 Np2 Rh2 S6'
_space_group_name_H-M_alt 'P 1 21/m 1'
_space_group_IT_number 11
_cell_length_a 7.9062
_cell_length_b 3.9377
_cell_length_c 8.8343
_cell_angle_alpha 90.00
_cell_angle_beta 101.53
_cell_angle_gamma 90.00
loop_
_space_group_symop_operation_xyz
'x,y,z'
'-x,-y,-z'
'-x,y+1/2,-z'
'x,-y+1/2,z'
loop_
_atom_site_label
_atom_site_fract_x
_atom_site_fract_y
_atom_site_fract_z
Na1 0.1847 0.2500 0.2276
Np1 0.3248 0.7500 0.8401
Rh1 0.0878 0.2500 0.5891
S1 0.1068 0.2500 0.8635
S2 0.2205 0.7500 0.5343
S3 0.4332 0.7500 0.1556

---

13.
# NaNpRhSe3, relaxed, DFT GGA-PBE
# E_tot in eV per atom: -6.221
data_NaNpRhSe3
_chemical_formula_sum 'Na2 Np2 Rh2 Se6'
_space_group_name_H-M_alt 'P 1 21/m 1'
_space_group_IT_number 11
_cell_length_a 8.1960
_cell_length_b 4.0675
_cell_length_c 9.2836
_cell_angle_alpha 90.00
_cell_angle_beta 102.73
_cell_angle_gamma 90.00
loop_
_space_group_symop_operation_xyz
'x,y,z'
'-x,-y,-z'
'-x,y+1/2,-z'
'x,-y+1/2,z'
loop_
_atom_site_label
_atom_site_fract_x
_atom_site_fract_y
_atom_site_fract_z
Na1 0.1884 0.2500 0.2398
Np1 0.3207 0.7500 0.8407
Rh1 0.0844 0.2500 0.5880
Se1 0.0937 0.2500 0.8626
Se2 0.2267 0.7500 0.5302
Se3 0.4312 0.7500 0.1589

---

14.
# Na3Np2RhSe6, relaxed, DFT GGA-PBE
# E_tot in eV per atom: -5.835
data_Na3Np2RhSe6
_chemical_formula_sum 'Na6 Np4 Rh2 Se12'
_space_group_name_H-M_alt 'C 1 2/m 1'
_space_group_IT_number 12
_cell_length_a 6.8853
_cell_length_b 11.9221
_cell_length_c 7.4584
_cell_angle_alpha 90.00
_cell_angle_beta 107.93
_cell_angle_gamma 90.00
loop_
_space_group_symop_operation_xyz
'x,y,z'
'-x,-y,-z'
'-x,y,-z'
'x,-y,z'
'x+1/2,y+1/2,z'
'-x+1/2,-y+1/2,-z'
'-x+1/2,y+1/2,-z'
'x+1/2,-y+1/2,z'
loop_
_atom_site_label
_atom_site_fract_x
_atom_site_fract_y
_atom_site_fract_z
Na1 0.0000 0.0000 0.0000
Na2 0.0000 0.3316 0.0000
Np1 0.0000 0.1667 0.5000
Rh1 0.0000 0.5000 0.5000
Se1 0.2306 0.3440 0.7235
Se2 0.2376 0.5000 0.2781

---

15.
# Na3Np3RhSe8, relaxed, DFT GGA-PBE
# E_tot in eV per atom: -6.225
data_Na3Np3RhSe8
_chemical_formula_sum 'Na6 Np6 Rh2 Se16'
_space_group_name_H-M_alt 'C 1 2/m 1'
_space_group_IT_number 12
_cell_length_a 13.8940
_cell_length_b 8.0235
_cell_length_c 8.5421
_cell_angle_alpha 90.00
_cell_angle_beta 122.87
_cell_angle_gamma 90.00
loop_
_space_group_symop_operation_xyz
'x,y,z'
'-x,-y,-z'
'-x,y,-z'
'x,-y,z'
'x+1/2,y+1/2,z'
'-x+1/2,-y+1/2,-z'
'-x+1/2,y+1/2,-z'
'x+1/2,-y+1/2,z'
loop_
_atom_site_label
_atom_site_fract_x
_atom_site_fract_y
_atom_site_fract_z
Na1 0.0000 0.0000 0.0000
Na2 0.2500 0.2500 0.0000
Np1 0.0000 0.5000 0.5000
Np2 0.2500 0.2500 0.5000
Rh1 0.0000 0.0000 0.5000
Se1 0.0052 0.2299 0.2855
Se2 0.2245 0.0000 0.7138
Se3 0.2450 0.5000 0.7349

---

16.
# Na2NpRhSe4, relaxed, DFT GGA-PBE
# E_tot in eV per atom: -5.515
data_Na2NpRhSe4
_chemical_formula_sum 'Na2 Np1 Rh1 Se4'
_space_group_name_H-M_alt 'P 1 2/m 1'
_space_group_IT_number 10
_cell_length_a 6.4272
_cell_length_b 4.0325
_cell_length_c 7.5416
_cell_angle_alpha 90.00
_cell_angle_beta 108.59
_cell_angle_gamma 90.00
loop_
_space_group_symop_operation_xyz
'x,y,z'
'-x,-y,-z'
'-x,y,-z'
'x,-y,z'
loop_
_atom_site_label
_atom_site_fract_x
_atom_site_fract_y
_atom_site_fract_z
Na1 0.0000 0.0000 0.0000
Na2 0.5000 0.5000 0.0000
Np1 0.0000 0.5000 0.5000
Rh1 0.5000 0.0000 0.5000
Se1 0.2621 0.0000 0.7276
Se2 0.2900 0.5000 0.2932

---

17.
# Na3Np3RuS8, relaxed, DFT GGA-PBE
# E_tot in eV per atom: -6.830
data_Na3Np3RuS8
_chemical_formula_sum 'Na9 Np9 Ru3 S24'
_space_group_name_H-M_alt 'R -3 m'
_space_group_IT_number 166
_space_group_name_Hall '-R 3 2"'
_cell_length_a 7.5858
_cell_length_b 7.5858
_cell_length_c 20.7160
_cell_angle_alpha 90.00
_cell_angle_beta 90.00
_cell_angle_gamma 120.00
loop_
_atom_site_label
_atom_site_fract_x
_atom_site_fract_y
_atom_site_fract_z
Na1 0.0000 0.5000 0.0000
Np1 0.0000 0.5000 0.5000
Ru1 0.0000 0.0000 0.5000
S1 0.0000 0.0000 0.2442
S2 0.0248 0.5124 0.2374

---

18.
# Na3Np2RuS6, relaxed, DFT GGA-PBE
# E_tot in eV per atom: -6.436
data_Na3Np2RuS6
_chemical_formula_sum 'Na6 Np4 Ru2 S12'
_space_group_name_H-M_alt 'C 1 2/m 1'
_space_group_IT_number 12
_cell_length_a 6.4785
_cell_length_b 11.2259
_cell_length_c 7.1920
_cell_angle_alpha 90.00
_cell_angle_beta 107.57
_cell_angle_gamma 90.00
loop_
_space_group_symop_operation_xyz
'x,y,z'
'-x,-y,-z'
'-x,y,-z'
'x,-y,z'
'x+1/2,y+1/2,z'
'-x+1/2,-y+1/2,-z'
'-x+1/2,y+1/2,-z'
'x+1/2,-y+1/2,z'
loop_
_atom_site_label
_atom_site_fract_x
_atom_site_fract_y
_atom_site_fract_z
Na1 0.0000 0.0000 0.0000
Na2 0.0000 0.3310 0.0000
Np1 0.0000 0.1666 0.5000
Ru1 0.0000 0.5000 0.5000
S1 0.2281 0.3457 0.7214
S2 0.2349 0.5000 0.2799

---

19.
# Na4Np3RuS8, relaxed, DFT GGA-PBE
# E_tot in eV per atom: -6.558
data_Na4Np3RuS8
_chemical_formula_sum 'Na12 Np9 Ru3 S24'
_space_group_name_H-M_alt 'R -3 m'
_space_group_IT_number 166
_space_group_name_Hall '-R 3 2"'
_cell_length_a 7.6333
_cell_length_b 7.6333
_cell_length_c 20.3924
_cell_angle_alpha 90.00
_cell_angle_beta 90.00
_cell_angle_gamma 120.00
loop_
_atom_site_label
_atom_site_fract_x
_atom_site_fract_y
_atom_site_fract_z
Na1 0.0000 0.0000 0.0000
Na2 0.0000 0.5000 0.0000
Np1 0.0000 0.5000 0.5000
Ru1 0.0000 0.0000 0.5000
S1 0.0000 0.0000 0.2446
S2 0.0219 0.5109 0.2400

---

20.
# NaNp4S6, relaxed, DFT GGA-PBE
# E_tot in eV per atom: -8.366
data_NaNp4S6
_chemical_formula_sum 'Na4 Np16 S24'
_space_group_name_H-M_alt 'C m c m'
_space_group_IT_number 63
_space_group_name_Hall '-C 2c 2'
_cell_length_a 3.9235
_cell_length_b 12.9826
_cell_length_c 20.0417
_cell_angle_alpha 90.00
_cell_angle_beta 90.00
_cell_angle_gamma 90.00
loop_
_atom_site_label
_atom_site_fract_x
_atom_site_fract_y
_atom_site_fract_z
Na1 0.0000 0.1609 0.2500
Np1 0.0000 0.0956 0.6306
Np2 0.0000 0.3647 0.5409
S1 0.0000 0.0000 0.0000
S2 0.0000 0.1796 0.7500
S3 0.0000 0.2693 0.0834
S4 0.0000 0.4615 0.6609